(1)
# CrCoAg2 PBE optimized geometry
data_CrCoAg2
_chemical_formula_sum 'Cr4 Co4 Ag8'
_symmetry_space_group_name_H-M 'I -4 2 d'
_symmetry_Int_Tables_number 122
_symmetry_space_group_name_Hall 'I -4 2bw'
_cell_length_a 7.2071
_cell_length_b 7.2071
_cell_length_c 5.3238
_cell_angle_alpha 90.00
_cell_angle_beta 90.00
_cell_angle_gamma 90.00
loop_
_atom_site_label
_atom_site_type_symbol
_atom_site_fract_x
_atom_site_fract_y
_atom_site_fract_z
_atom_site_occupancy
Cr1 Cr 0.0000 0.0000 0.0000 1
Co1 Co 0.0000 0.0000 0.5000 1
Ag1 Ag 0.2290 0.2500 0.6250 1
# * density of states at the Fermi level: 3.7 states/eV/f.u.
# * DFT formation energy: 0.856 eV per atom
# * excess energy over the best structure of this formula in the dataset: 535 meV per atom

(2)
# SrMgHPb PBE optimized geometry
data_SrMgHPb
_chemical_formula_sum 'Sr2 Mg2 H2 Pb2'
_symmetry_space_group_name_H-M 'P 4/n m m'
_symmetry_Int_Tables_number 129
_cell_length_a 4.3857
_cell_length_b 4.3857
_cell_length_c 10.1619
_cell_angle_alpha 90.00
_cell_angle_beta 90.00
_cell_angle_gamma 90.00
loop_
_symmetry_equiv_pos_as_xyz
'x,y,z'
'-x,-y,-z'
'-y+1/2,x,z'
'y+1/2,-x,-z'
'-x+1/2,-y+1/2,z'
'x+1/2,y+1/2,-z'
'y,-x+1/2,z'
'-y,x+1/2,-z'
'x+1/2,-y,-z'
'-x+1/2,y,z'
'-y,-x,-z'
'y,x,z'
'-x,y+1/2,-z'
'x,-y+1/2,z'
'y+1/2,x+1/2,-z'
'-y+1/2,-x+1/2,z'
loop_
_atom_site_label
_atom_site_type_symbol
_atom_site_fract_x
_atom_site_fract_y
_atom_site_fract_z
_atom_site_occupancy
Sr1 Sr 0.2500 0.2500 0.1198 1
Mg1 Mg 0.2500 0.7500 0.5000 1
H1 H 0.2500 0.7500 0.0000 1
Pb1 Pb 0.2500 0.2500 0.7055 1
# * density of states at the Fermi level: 1.3 states/eV/f.u.
# * final energy: -23.716 eV per cell

(3)
# LiFe PBE optimized geometry
data_LiFe
_chemical_formula_sum 'Li16 Fe16'
_symmetry_space_group_name_H-M 'F d d d'
_symmetry_Int_Tables_number 70
_cell_length_a 4.4136
_cell_length_b 7.3432
_cell_length_c 13.4660
_cell_angle_alpha 90.00
_cell_angle_beta 90.00
_cell_angle_gamma 90.00
loop_
_symmetry_equiv_pos_as_xyz
'x,y,z'
'-x,-y,-z'
'-x+1/4,-y+1/4,z'
'x+1/4,y+1/4,-z'
'x,-y+1/4,-z+1/4'
'-x,y+1/4,z+1/4'
'-x+1/4,y,-z+1/4'
'x+1/4,-y,z+1/4'
'x,y+1/2,z+1/2'
'-x,-y+1/2,-z+1/2'
'-x+1/4,-y+3/4,z+1/2'
'x+1/4,y+3/4,-z+1/2'
'x,-y+3/4,-z+3/4'
'-x,y+3/4,z+3/4'
'-x+1/4,y+1/2,-z+3/4'
'x+1/4,-y+1/2,z+3/4'
'x+1/2,y,z+1/2'
'-x+1/2,-y,-z+1/2'
'-x+3/4,-y+1/4,z+1/2'
'x+3/4,y+1/4,-z+1/2'
'x+1/2,-y+1/4,-z+3/4'
'-x+1/2,y+1/4,z+3/4'
'-x+3/4,y,-z+3/4'
'x+3/4,-y,z+3/4'
'x+1/2,y+1/2,z'
'-x+1/2,-y+1/2,-z'
'-x+3/4,-y+3/4,z'
'x+3/4,y+3/4,-z'
'x+1/2,-y+3/4,-z+1/4'
'-x+1/2,y+3/4,z+1/4'
'-x+3/4,y+1/2,-z+1/4'
'x+3/4,-y+1/2,z+1/4'
loop_
_atom_site_label
_atom_site_type_symbol
_atom_site_fract_x
_atom_site_fract_y
_atom_site_fract_z
_atom_site_occupancy
Li1 Li 0.1250 0.2875 0.1250 1
Fe1 Fe 0.1250 0.1250 0.5394 1
# * density of states at the Fermi level: 1.7 states/eV/f.u.
# * DFT formation energy: 0.496 eV per atom

(4)
# Mg2Sn5 PBE optimized geometry
data_Mg2Sn5
_chemical_formula_sum 'Mg4 Sn10'
_symmetry_space_group_name_H-M 'P 4/m b m'
_symmetry_Int_Tables_number 127
_symmetry_space_group_name_Hall '-P 4 2ab'
_cell_length_a 10.5182
_cell_length_b 10.5182
_cell_length_c 3.2868
_cell_angle_alpha 90.00
_cell_angle_beta 90.00
_cell_angle_gamma 90.00
loop_
_atom_site_label
_atom_site_type_symbol
_atom_site_fract_x
_atom_site_fract_y
_atom_site_fract_z
_atom_site_occupancy
Mg1 Mg 0.1772 0.3228 0.0000 1
Sn1 Sn 0.0000 0.5000 0.5000 1
Sn2 Sn 0.0680 0.7971 0.5000 1
# * density of states at the Fermi level: 3.1 states/eV/f.u.
# * DFT formation energy: -0.053 eV per atom

(5)
# CdGa2I6Br2 PBE optimized geometry
data_CdGa2I6Br2
_chemical_formula_sum 'Cd1 Ga2 I6 Br2'
_symmetry_space_group_name_H-M 'P -3'
_symmetry_Int_Tables_number 147
_cell_length_a 7.3615
_cell_length_b 7.3615
_cell_length_c 10.5428
_cell_angle_alpha 90.00
_cell_angle_beta 90.00
_cell_angle_gamma 120.00
loop_
_symmetry_equiv_pos_as_xyz
'x,y,z'
'-x,-y,-z'
'-y,x-y,z'
'y,-x+y,-z'
'-x+y,-x,z'
'x-y,x,-z'
loop_
_atom_site_label
_atom_site_type_symbol
_atom_site_fract_x
_atom_site_fract_y
_atom_site_fract_z
_atom_site_occupancy
Cd1 Cd 0.0000 0.0000 0.0000 1
Ga1 Ga 0.3333 0.6667 0.7467 1
I1 I 0.0052 0.3347 0.1723 1
Br1 Br 0.3333 0.6667 0.5283 1
# * density of states at the Fermi level: 0.0 states/eV/f.u.
# * ΔE_f (raw): -551 meV/atom

(6)
# Pr2Nd3Cd3 PBE optimized geometry
data_Pr2Nd3Cd3
_chemical_formula_sum 'Pr2 Nd3 Cd3'
_symmetry_space_group_name_H-M 'P m m m'
_symmetry_Int_Tables_number 47
_cell_length_a 5.0388
_cell_length_b 5.0403
_cell_length_c 9.4929
_cell_angle_alpha 90.00
_cell_angle_beta 90.00
_cell_angle_gamma 90.00
loop_
_symmetry_equiv_pos_as_xyz
'x,y,z'
'-x,-y,-z'
'-x,-y,z'
'x,y,-z'
'x,-y,-z'
'-x,y,z'
'-x,y,-z'
'x,-y,z'
loop_
_atom_site_label
_atom_site_type_symbol
_atom_site_fract_x
_atom_site_fract_y
_atom_site_fract_z
_atom_site_occupancy
Pr1 Pr 0.0000 0.0000 0.2354 1
Nd1 Nd 0.0000 0.5000 0.5000 1
Nd2 Nd 0.5000 0.5000 0.2325 1
Cd1 Cd 0.0000 0.5000 0.0000 1
Cd2 Cd 0.5000 0.0000 0.0000 1
Cd3 Cd 0.5000 0.0000 0.5000 1
# * density of states at the Fermi level: 11.3 states/eV/f.u.
# * DFT formation energy: -0.182 eV per atom
# * excess energy over the best structure of this formula in the dataset: 49 meV per atom

(7)
# MgInGaF6 PBE optimized geometry
data_MgInGaF6
_chemical_formula_sum 'Mg1 In1 Ga1 F6'
_symmetry_space_group_name_H-M 'P 3 1 2'
_symmetry_Int_Tables_number 149
_cell_length_a 5.3219
_cell_length_b 5.3219
_cell_length_c 5.9874
_cell_angle_alpha 90.00
_cell_angle_beta 90.00
_cell_angle_gamma 120.00
loop_
_symmetry_equiv_pos_as_xyz
'x,y,z'
'-y,x-y,z'
'-x+y,-x,z'
'-y,-x,-z'
'-x+y,y,-z'
'x,x-y,-z'
loop_
_atom_site_label
_atom_site_type_symbol
_atom_site_fract_x
_atom_site_fract_y
_atom_site_fract_z
_atom_site_occupancy
Mg1 Mg 0.0000 0.0000 0.0000 1
In1 In 0.6667 0.3333 0.5000 1
Ga1 Ga 0.3333 0.6667 0.0000 1
F1 F 0.0545 0.3459 0.1801 1
# * density of states at the Fermi level: 0.0 states/eV/f.u.
# * ΔE_f (raw): -2741 meV/atom

(8)
# Sr2LiSnF PBE optimized geometry
data_Sr2LiSnF
_chemical_formula_sum 'Sr2 Li1 Sn1 F1'
_symmetry_space_group_name_H-M 'P 4/m m m'
_symmetry_Int_Tables_number 123
_symmetry_space_group_name_Hall '-P 4 2'
_cell_length_a 5.3219
_cell_length_b 5.3219
_cell_length_c 5.1181
_cell_angle_alpha 90.00
_cell_angle_beta 90.00
_cell_angle_gamma 90.00
loop_
_atom_site_label
_atom_site_type_symbol
_atom_site_fract_x
_atom_site_fract_y
_atom_site_fract_z
_atom_site_occupancy
Sr1 Sr 0.0000 0.5000 0.0000 1
Li1 Li 0.0000 0.0000 0.5000 1
Sn1 Sn 0.5000 0.5000 0.5000 1
F1 F 0.5000 0.5000 0.0000 1
# * density of states at the Fermi level: 3.0 states/eV/f.u.
# * ΔE_f (raw): -1007 meV/atom
# * excess energy over the best structure of this formula in the dataset: 439 meV per atom

(9)
# MgB2Se PBE optimized geometry
data_MgB2Se
_chemical_formula_sum 'Mg4 B8 Se4'
_symmetry_space_group_name_H-M 'F m -3 m'
_symmetry_Int_Tables_number 225
_symmetry_space_group_name_Hall '-F 4 2 3'
_cell_length_a 5.9742
_cell_length_b 5.9742
_cell_length_c 5.9742
_cell_angle_alpha 90.00
_cell_angle_beta 90.00
_cell_angle_gamma 90.00
loop_
_atom_site_label
_atom_site_type_symbol
_atom_site_fract_x
_atom_site_fract_y
_atom_site_fract_z
_atom_site_occupancy
Mg1 Mg 0.0000 0.0000 0.0000 1
B1 B 0.2500 0.2500 0.2500 1
Se1 Se 0.0000 0.0000 0.5000 1
# * density of states at the Fermi level: 1.9 states/eV/f.u.
# * ΔE_f (raw): 1380 meV/atom
# * excess energy over the best structure of this formula in the dataset: 479 meV per atom

(10)
# TiAs2Pd2 PBE optimized geometry
data_TiAs2Pd2
_chemical_formula_sum 'Ti2 As4 Pd4'
_symmetry_space_group_name_H-M 'P 4/m b m'
_symmetry_Int_Tables_number 127
_symmetry_space_group_name_Hall '-P 4 2ab'
_cell_length_a 7.2598
_cell_length_b 7.2598
_cell_length_c 3.1463
_cell_angle_alpha 90.00
_cell_angle_beta 90.00
_cell_angle_gamma 90.00
loop_
_atom_site_label
_atom_site_type_symbol
_atom_site_fract_x
_atom_site_fract_y
_atom_site_fract_z
_atom_site_occupancy
Ti1 Ti 0.0000 0.0000 0.0000 1
As1 As 0.1610 0.3390 0.0000 1
Pd1 Pd 0.1433 0.6433 0.5000 1
# * density of states at the Fermi level: 2.1 states/eV/f.u.
# * DFT formation energy: -0.359 eV per atom

(11)
# AlSiTcBi2 PBE optimized geometry
data_AlSiTcBi2
_chemical_formula_sum 'Al1 Si1 Tc1 Bi2'
_symmetry_space_group_name_H-M 'P 4/m m m'
_symmetry_Int_Tables_number 123
_symmetry_space_group_name_Hall '-P 4 2'
_cell_length_a 5.2928
_cell_length_b 5.2928
_cell_length_c 4.7653
_cell_angle_alpha 90.00
_cell_angle_beta 90.00
_cell_angle_gamma 90.00
loop_
_atom_site_label
_atom_site_type_symbol
_atom_site_fract_x
_atom_site_fract_y
_atom_site_fract_z
_atom_site_occupancy
Al1 Al 0.0000 0.0000 0.0000 1
Si1 Si 0.5000 0.5000 0.0000 1
Tc1 Tc 0.0000 0.0000 0.5000 1
Bi1 Bi 0.0000 0.5000 0.5000 1
# * density of states at the Fermi level: 5.4 states/eV/f.u.
# * ΔE_f (raw): 742 meV/atom

- Among the records above, which one has the highest density of states at the Fermi level?
  Pr2Nd3Cd3